! InAg2Sb | Alexandria | PBE | relaxed; values from VASP
! Density of states at the Fermi level: 1.55 states/eV/cell
&SYSTEM
  ibrav = 0, nat = 4, ntyp = 3
/
ATOMIC_SPECIES
In 114.82 In.upf
Ag 107.87 Ag.upf
Sb 121.76 Sb.upf
ATOMIC_POSITIONS crystal
In 0.000 0.000 0.000
Ag 0.250 0.250 0.250
Ag 0.750 0.750 0.750
Sb 0.500 0.500 0.500
CELL_PARAMETERS angstrom
1.729 0.998 8.734
-1.729 0.998 8.734
0.000 -1.997 8.734


! InAgSb2 | Alexandria | PBE | relaxed; values from VASP
! Density of states at the Fermi level: 1.34 states/eV/cell
&SYSTEM
  ibrav = 0, nat = 4, ntyp = 3
/
ATOMIC_SPECIES
In 114.82 In.upf
Ag 107.87 Ag.upf
Sb 121.76 Sb.upf
ATOMIC_POSITIONS crystal
In 0.000 0.000 0.000
Ag 0.000 0.000 0.500
Sb 0.493 0.500 0.296
Sb 0.507 0.500 0.704
CELL_PARAMETERS angstrom
3.279 0.000 0.000
0.000 4.106 0.000
-0.230 0.000 7.786


! InAg2Sb | Alexandria | PBE | relaxed; values from VASP
! Density of states at the Fermi level: 1.30 states/eV/cell
&SYSTEM
  ibrav = 0, nat = 4, ntyp = 3
/
ATOMIC_SPECIES
In 114.82 In.upf
Ag 107.87 Ag.upf
Sb 121.76 Sb.upf
ATOMIC_POSITIONS crystal
In 0.000 0.000 0.000
Ag 0.250 0.750 0.500
Ag 0.750 0.250 0.500
Sb 0.500 0.500 0.000
CELL_PARAMETERS angstrom
-2.249 2.255 4.363
2.249 -2.255 4.363
2.249 2.255 -4.363


! InAgSb2 | Alexandria | PBE | relaxed; values from VASP
! Density of states at the Fermi level: 1.45 states/eV/cell
&SYSTEM
  ibrav = 0, nat = 4, ntyp = 3
/
ATOMIC_SPECIES
In 114.82 In.upf
Ag 107.87 Ag.upf
Sb 121.76 Sb.upf
ATOMIC_POSITIONS crystal
In 0.000 0.000 0.000
Ag 0.500 0.500 0.000
Sb 0.000 0.500 0.500
Sb 0.500 0.000 0.500
CELL_PARAMETERS angstrom
3.273 -4.699 0.000
3.273 4.699 0.000
-0.465 0.000 3.298


! In2Ag2Sb | Alexandria | PBE | relaxed; values from VASP
! Density of states at the Fermi level: 2.04 states/eV/cell
! Excess energy over the best structure of this formula in the dataset: 0.092 eV/atom
&SYSTEM
  ibrav = 0, nat = 5, ntyp = 3
/
ATOMIC_SPECIES
In 114.82 In.upf
Ag 107.87 Ag.upf
Sb 121.76 Sb.upf
ATOMIC_POSITIONS crystal
In 0.250 0.750 0.500
In 0.750 0.250 0.500
Ag 0.101 0.101 0.000
Ag 0.899 0.899 0.000
Sb 0.500 0.500 0.000
CELL_PARAMETERS angstrom
-2.131 2.131 6.637
2.131 -2.131 6.637
2.131 2.131 -6.637


! InAg2Sb | Alexandria | PBE | relaxed; values from VASP
! Density of states at the Fermi level: 1.82 states/eV/cell
&SYSTEM
  ibrav = 0, nat = 4, ntyp = 3
/
ATOMIC_SPECIES
In 114.82 In.upf
Ag 107.87 Ag.upf
Sb 121.76 Sb.upf
ATOMIC_POSITIONS crystal
In 0.000 0.000 0.000
Ag 0.000 0.000 0.554
Ag 0.500 0.500 0.763
Sb 0.500 0.500 0.315
CELL_PARAMETERS angstrom
3.125 0.000 0.000
0.000 3.125 0.000
0.000 0.000 9.212


Number 1: ΔE_f (raw) 8 kJ/mol of atoms. Number 2: ΔE_f (raw) 12 kJ/mol of atoms. Number 3: ΔE_f (raw) 8 kJ/mol of atoms. Number 4: ΔE_f (raw) 16 kJ/mol of atoms. Number 5: ΔE_f (raw) 15 kJ/mol of atoms. Number 6: ΔE_f (raw) 9 kJ/mol of atoms.